# Y2TiTlGa, optimized geometry, DFT PBE-GGA
# - energy relative to the elements (eV per atom) = 0.087
# - total DFT energy (no corrections) (eV/atom) = -5.157
data_Y2TiTlGa
_chemical_formula_sum 'Y2 Ti1 Tl1 Ga1'
_space_group_name_H-M_alt 'P 4/m m m'
_space_group_IT_number 123
_space_group_name_Hall '-P 4 2'
_cell_length_a 5.386
_cell_length_b 5.386
_cell_length_c 4.858
_cell_angle_alpha 90.00
_cell_angle_beta 90.00
_cell_angle_gamma 90.00
loop_
_atom_site_label
_atom_site_type_symbol
_atom_site_fract_x
_atom_site_fract_y
_atom_site_fract_z
Y1 Y 0.000 0.500 0.000
Ti1 Ti 0.000 0.000 0.500
Tl1 Tl 0.500 0.500 0.500
Ga1 Ga 0.000 0.000 0.000